A plane-wave DFT calculation with PBE with a Hubbard U was carried out for a geometry-optimized NbCoF3 structure.

Cell and atoms, written as POSCAR:
```
NbCoF3
1.0
-1.0823 -3.5914 -1.6338
-0.1968 -1.6428 3.7417
-3.9406 1.0685 0.2618
F Nb Co
3 1 1
Direct
0.5000 0.0000 0.0000 F
0.0000 0.5000 0.0000 F
0.0000 0.0000 0.5000 F
0.5000 0.5000 0.5000 Nb
0.0000 0.0000 0.0000 Co
```

**Crystal system**: cubic
**Energy above the lowest structure with this stoichiometry**: 0.3221 eV/atom
**Uncorrected energy**: -5.05 eV/atom